No. 1
Rb3MnGa | SCAN | single point on PBEsol structure

Unit cell a=6.6176 b=6.6176 c=6.6176 alpha=90.00 beta=90.00 gamma=90.00
Last column: nearest neighbours and their distance in Å.
Space group Pm-3m (No. 221)
Inequivalent atoms, fractional coordinates:
Rb  0.0000  0.0000  0.5000  2 Ga 3.31
Mn  0.5000  0.5000  0.5000  12 Rb 4.68
Ga  0.0000  0.0000  0.0000  6 Rb 3.31

Properties
energy of formation = 626 meV per atom
total moment = 4.926 μB per formula unit
crystal system = cubic
N(E_F) = 2.97 states/eV/f.u.

***

No. 2
Sr2Si2P | SCAN | single point on PBEsol structure

Unit cell a=7.1643 b=7.1643 c=4.5954 alpha=90.00 beta=90.00 gamma=90.00
Last column: nearest neighbours and their distance in Å.
Space group P4/mbm (No. 127)
Inequivalent atoms, fractional coordinates:
Sr  0.1805  0.3195  0.0000  6 Si 3.08-3.17
Si  0.1177  0.6177  0.5000  1 Si 2.38
P  0.0000  0.0000  0.5000  4 Si 2.87

Properties
total moment = 0.000 μB per formula unit
crystal system = tetragonal
N(E_F) = 1.93 states/eV/f.u.
ΔE_f (raw) = -0.286 eV/atom